Here is a relaxed CsGa2S2 crystal from Alexandria via LeMat-Bulk. Energies are from PBE.

a b c (Å): 4.9654 4.9654 10.1121
angles (deg): 90.00 90.00 90.00
Last column: nearest neighbours and their distance in Å.
Space group I4/mmm (No. 139)
One atom of each set of equivalent atoms:
Cs 0.0000 0.0000 0.0000  10 Ga 3.51-3.84, 8 S 3.54
Ga 0.0000 0.0000 0.3466  4 S 2.67
S 0.0000 0.5000 0.2500  4 Ga 2.67

Mass density in g/cm³: 4.482
VASP energy in eV per atom: -3.56


Here is a relaxed CsGa6S8 crystal from Alexandria via LeMat-Bulk. Energies are from PBE.

a b c (Å): 10.4340 10.4340 11.6837
angles (deg): 90.00 90.00 120.00
Last column: nearest neighbours and their distance in Å.
Space group R-3 (No. 148, hexagonal axes)
One atom of each set of equivalent atoms:
Cs 0.0000 0.0000 0.0000  8 S 3.56-3.86, 6 Ga 3.92
Ga 0.0575 0.2441 0.6145  4 S 2.39-2.45
S 0.0000 0.0000 0.3305  3 Ga 2.39
S 0.0030 0.3581 0.7730  3 Ga 2.41-2.45

Mass density in g/cm³: 3.653
VASP energy in eV per atom: -3.99


Here is a relaxed Cs5GaS4 crystal from Alexandria via LeMat-Bulk. Energies are from PBE.

a b c (Å): 9.6199 10.4856 8.2645
angles (deg): 90.00 90.00 90.00
Last column: nearest neighbours and their distance in Å.
Space group Pmmn (No. 59, origin choice 2)
One atom of each set of equivalent atoms:
Cs 0.0121 0.0586 0.2315  4 S 3.38-3.62
Cs 0.2500 0.7500 0.3775  4 S 3.51-3.57
Ga 0.2500 0.2500 0.7074  4 S 2.36-2.37
S 0.0474 0.2500 0.8691  1 Ga 2.36
S 0.2500 0.0637 0.5456  1 Ga 2.37

Mass density in g/cm³: 3.436
VASP energy in eV per atom: -3.40


Here is a relaxed CsGaS3 crystal from Alexandria via LeMat-Bulk. Energies are from PBE.

a b c (Å): 4.9657 4.9657 4.9657
angles (deg): 90.00 90.00 90.00
Last column: nearest neighbours and their distance in Å.
Space group Pm-3m (No. 221)
One atom of each set of equivalent atoms:
Cs 0.0000 0.0000 0.0000  12 S 3.51
Ga 0.5000 0.5000 0.5000  6 S 2.48
S 0.0000 0.5000 0.5000  2 Ga 2.48

Mass density in g/cm³: 4.052
VASP energy in eV per atom: -3.47
Energy above the most stable polymorph in this dataset in meV/atom: 633.8


Here is a relaxed Cs3GaS crystal from Alexandria via LeMat-Bulk. Energies are from PBE.

a b c (Å): 6.7666 6.7666 6.7666
angles (deg): 90.00 90.00 90.00
Last column: nearest neighbours and their distance in Å.
Space group Pm-3m (No. 221)
One atom of each set of equivalent atoms:
Cs 0.0000 0.0000 0.5000  2 S 3.38
Ga 0.5000 0.5000 0.5000  12 Cs 4.78
S 0.0000 0.0000 0.0000  6 Cs 3.38

Mass density in g/cm³: 2.683
VASP energy in eV per atom: -2.23
Energy above the most stable polymorph in this dataset in meV/atom: 0.0


Here is a relaxed CsGa2SbS6 crystal from Alexandria via LeMat-Bulk. Energies are from PBE.

a b c (Å): 13.6390 14.0159 7.4051
angles (deg): 90.00 112.92 90.00
Last column: nearest neighbours and their distance in Å.
Space group C2/c (No. 15)
One atom of each set of equivalent atoms:
Cs 0.0000 0.0791 0.2500  4 S 3.32-3.58
Ga 0.2062 0.4296 0.1303  4 S 2.23-2.43
Sb 0.0000 0.2573 0.7500  4 S 2.39-2.40
S 0.0538 0.3406 0.0552  1 Ga 2.30, 1 Sb 2.39
S 0.1332 0.1626 0.6992  1 Sb 2.40, 1 Ga 2.43
S 0.2211 0.4445 0.4578  2 Ga 2.23-2.36

Mass density in g/cm³: 2.988
VASP energy in eV per atom: -4.03


Here is a relaxed CsScGaS4 crystal from Alexandria via LeMat-Bulk. Energies are from PBE.

a b c (Å): 6.5610 6.1338 9.6308
angles (deg): 90.00 108.34 90.00
Last column: nearest neighbours and their distance in Å.
Space group P2_1/m (No. 11)
One atom of each set of equivalent atoms:
Cs 0.2452 0.2500 0.4488  8 S 3.47-3.82
Sc 0.2787 0.2500 0.9485  6 S 2.60-2.71
Ga 0.2486 0.7500 0.1544  4 S 2.23-2.31
S 0.0171 0.7500 0.9250  1 Ga 2.25
S 0.0405 0.7500 0.2980  1 Ga 2.23
S 0.4887 0.5131 0.8180  1 Ga 2.31

Mass density in g/cm³: 3.393
VASP energy in eV per atom: -4.92


Here is a relaxed Cs2SmGaS4 crystal from Alexandria via LeMat-Bulk. Energies are from PBE.

a b c (Å): 6.2849 14.7264 26.2334
angles (deg): 90.00 90.00 90.00
Last column: nearest neighbours and their distance in Å.
Space group Fddd (No. 70, origin choice 2)
One atom of each set of equivalent atoms:
Cs 0.1250 0.1250 0.3046  8 S 3.74-4.11
Sm 0.1250 0.1250 0.1250  4 S 2.63
Ga 0.1250 0.1250 0.6250  4 S 2.34
S 0.0876 0.2802 0.8250  1 Ga 2.34

Mass density in g/cm³: 3.360
VASP energy in eV per atom: -4.53


Here is a relaxed CsGaSnS4 crystal from Alexandria via LeMat-Bulk. Energies are from PBE.

a b c (Å): 6.2830 7.9381 9.6999
angles (deg): 90.00 105.18 90.00
Last column: nearest neighbours and their distance in Å.
Space group P2_1/m (No. 11)
One atom of each set of equivalent atoms:
Cs 0.2301 0.2500 0.3820  7 S 3.69-3.99
Ga 0.3322 0.7500 0.1974  4 S 2.31-2.34
Sn 0.1735 0.2500 0.8094  4 S 2.41-2.45
S 0.0211 0.7500 0.0075  1 Ga 2.31, 1 Sn 2.41
S 0.1643 0.7500 0.3859  1 Ga 2.34, 1 Sn 2.45
S 0.4256 0.0270 0.7866  1 Ga 2.31, 1 Sn 2.42

Mass density in g/cm³: 3.198
VASP energy in eV per atom: -4.23


Here is a relaxed Cs2GaSnS4 crystal from Alexandria via LeMat-Bulk. Energies are from PBE.

a b c (Å): 6.3520 14.4962 25.1090
angles (deg): 90.00 90.00 90.00
Last column: nearest neighbours and their distance in Å.
Space group Fddd (No. 70, origin choice 2)
One atom of each set of equivalent atoms:
Cs 0.1250 0.1250 0.3039  8 S 3.78-4.10
Ga 0.1250 0.1250 0.6250  4 S 2.32
Sn 0.1250 0.1250 0.1250  4 S 2.58
S 0.0937 0.2818 0.8238  1 Ga 2.32, 1 Sn 2.58

Mass density in g/cm³: 3.347
VASP energy in eV per atom: -3.97


Here is a relaxed Cs2TbGaS4 crystal from Alexandria via LeMat-Bulk. Energies are from PBE.

a b c (Å): 6.2113 14.6922 26.0777
angles (deg): 90.00 90.00 90.00
Last column: nearest neighbours and their distance in Å.
Space group Fddd (No. 70, origin choice 2)
One atom of each set of equivalent atoms:
Cs 0.1250 0.1250 0.3040  8 S 3.74-4.06
Tb 0.1250 0.1250 0.1250  4 S 2.59
Ga 0.1250 0.1250 0.6250  4 S 2.33
S 0.0926 0.2809 0.8249  1 Ga 2.33, 1 Tb 2.59

Mass density in g/cm³: 3.476
VASP energy in eV per atom: -4.55


Here is a relaxed CsGa2TeS6 crystal from Alexandria via LeMat-Bulk. Energies are from PBE.

a b c (Å): 11.8610 14.3394 7.1212
angles (deg): 90.00 92.90 90.00
Last column: nearest neighbours and their distance in Å.
Space group C2/c (No. 15)
One atom of each set of equivalent atoms:
Cs 0.0000 0.0655 0.2500  6 S 3.28-3.64
Ga 0.1847 0.4315 0.3132  4 S 2.27-2.45
Te 0.0000 0.2531 0.7500  2 S 2.40
S 0.0748 0.3093 0.1861  1 S 2.03
S 0.1371 0.1511 0.6226  1 Te 2.40, 1 Ga 2.45
S 0.1787 0.4351 0.6408  2 Ga 2.27-2.34

Mass density in g/cm³: 3.253
VASP energy in eV per atom: -3.87


Repeat the third record exactly.
Here is a relaxed Cs5GaS4 crystal from Alexandria via LeMat-Bulk. Energies are from PBE.

a b c (Å): 9.6199 10.4856 8.2645
angles (deg): 90.00 90.00 90.00
Last column: nearest neighbours and their distance in Å.
Space group Pmmn (No. 59, origin choice 2)
One atom of each set of equivalent atoms:
Cs 0.0121 0.0586 0.2315  4 S 3.38-3.62
Cs 0.2500 0.7500 0.3775  4 S 3.51-3.57
Ga 0.2500 0.2500 0.7074  4 S 2.36-2.37
S 0.0474 0.2500 0.8691  1 Ga 2.36
S 0.2500 0.0637 0.5456  1 Ga 2.37

Mass density in g/cm³: 3.436
VASP energy in eV per atom: -3.40


- Among the records above, which one has the highest mass density?
  CsGa2S2


- Look up the mass density of the second one.
  3.653 g/cm³